Entry 1:
First-principles (PBE) data for NaInPt after structural relaxation, as listed in Alexandria. Values from VASP.

```
&SYSTEM
  ibrav = 0, nat = 9, ntyp = 3
/
ATOMIC_SPECIES
In 114.82 In.upf
Pt 195.08 Pt.upf
Na 22.99 Na.upf
CELL_PARAMETERS angstrom
4.713 0.000 0.000
0.000 6.561 0.000
-2.357 -3.281 6.956
ATOMIC_POSITIONS crystal
In 0.312 0.445 0.623
In 0.000 0.274 0.000
In 0.688 0.822 0.377
Pt 0.176 0.603 0.352
Pt 0.500 0.496 0.000
Pt 0.824 0.251 0.648
Na 0.358 0.994 0.716
Na 0.642 0.278 0.284
Na 0.000 0.773 0.000
```

- Magnetization: 0.0 μB per cell
- Total energy: -3.689 eV/atom
- Formation energy: -0.32 eV/atom
- Calculated volume: 23.9 Å³/atom

=====

Entry 2:
First-principles (PBE) data for Na2InPt2 after structural relaxation, as listed in Alexandria. Values from VASP.

```
&SYSTEM
  ibrav = 0, nat = 10, ntyp = 3
/
ATOMIC_SPECIES
Na 22.99 Na.upf
In 114.82 In.upf
Pt 195.08 Pt.upf
CELL_PARAMETERS angstrom
-3.010 4.909 0.282
0.527 -3.331 4.684
6.894 4.207 0.353
ATOMIC_POSITIONS crystal
Na 0.511 0.296 0.145
Na 0.786 0.296 0.645
Na 0.489 0.704 0.855
Na 0.214 0.704 0.355
In 0.887 0.000 0.250
In 0.113 0.000 0.750
Pt 0.283 0.276 0.507
Pt 0.717 0.724 0.493
Pt 0.006 0.724 0.993
Pt 0.994 0.276 0.007
```

- Magnetization: 0.0 μB per cell
- Total energy: -3.813 eV/atom
- Formation energy: -0.32 eV/atom
- Excess energy over the best structure of this formula in the dataset: 26 meV/atom
- Calculated volume: 22.8 Å³/atom

=====

Entry 3:
First-principles (PBE) data for NaIn2Pt after structural relaxation, as listed in Alexandria. Values from VASP.

```
&SYSTEM
  ibrav = 0, nat = 32, ntyp = 3
/
ATOMIC_SPECIES
In 114.82 In.upf
Pt 195.08 Pt.upf
Na 22.99 Na.upf
CELL_PARAMETERS angstrom
5.722 0.000 0.000
0.000 7.916 0.000
0.000 0.000 16.027
ATOMIC_POSITIONS crystal
In 0.973 0.049 0.212
In 0.257 0.448 0.963
In 0.527 0.049 0.712
In 0.743 0.552 0.037
In 0.473 0.549 0.288
In 0.027 0.549 0.788
In 0.527 0.451 0.712
In 0.973 0.451 0.212
In 0.027 0.951 0.788
In 0.757 0.948 0.537
In 0.243 0.052 0.463
In 0.257 0.052 0.963
In 0.473 0.951 0.288
In 0.757 0.552 0.537
In 0.243 0.448 0.463
In 0.743 0.948 0.037
Pt 0.737 0.750 0.184
Pt 0.763 0.750 0.684
Pt 0.978 0.250 0.070
Pt 0.478 0.750 0.430
Pt 0.522 0.250 0.570
Pt 0.237 0.250 0.316
Pt 0.263 0.250 0.816
Pt 0.022 0.750 0.930
Na 0.752 0.250 0.394
Na 0.748 0.250 0.894
Na 0.032 0.250 0.639
Na 0.252 0.750 0.106
Na 0.532 0.750 0.861
Na 0.468 0.250 0.139
Na 0.968 0.750 0.361
Na 0.248 0.750 0.606
```

- Magnetization: 0.0 μB per cell
- Total energy: -3.614 eV/atom
- Formation energy: -0.40 eV/atom
- Calculated volume: 22.7 Å³/atom

=====

Entry 4:
First-principles (PBE) data for Na2InPt2 after structural relaxation, as listed in Alexandria. Values from VASP.

```
&SYSTEM
  ibrav = 0, nat = 5, ntyp = 3
/
ATOMIC_SPECIES
In 114.82 In.upf
Pt 195.08 Pt.upf
Na 22.99 Na.upf
CELL_PARAMETERS angstrom
4.000 0.000 -1.513
-0.975 5.079 -2.577
-0.119 -0.404 5.728
ATOMIC_POSITIONS crystal
In 0.000 0.000 0.000
Pt 0.500 0.278 0.000
Pt 0.500 0.722 0.000
Na 0.203 0.703 0.407
Na 0.797 0.297 0.593
```

- Magnetization: 0.0 μB per cell
- Total energy: -3.839 eV/atom
- Formation energy: -0.35 eV/atom
- Excess energy over the best structure of this formula in the dataset: 0 meV/atom
- Calculated volume: 22.1 Å³/atom

=====

Entry 5:
First-principles (PBE) data for NaIn2Pt after structural relaxation, as listed in Alexandria. Values from VASP.

```
&SYSTEM
  ibrav = 0, nat = 4, ntyp = 3
/
ATOMIC_SPECIES
Na 22.99 Na.upf
Pt 195.08 Pt.upf
In 114.82 In.upf
CELL_PARAMETERS angstrom
3.745 0.000 0.000
1.872 3.243 0.000
1.872 1.081 9.549
ATOMIC_POSITIONS crystal
Na 0.000 0.000 0.000
Pt 0.500 0.500 0.500
In 0.108 0.108 0.676
In 0.892 0.892 0.324
```

- Magnetization: 0.0 μB per cell
- Total energy: -3.332 eV/atom
- Formation energy: -0.12 eV/atom
- Calculated volume: 29.0 Å³/atom

=====

Entry 6:
First-principles (PBE) data for Na3InPt after structural relaxation, as listed in Alexandria. Values from VASP.

```
&SYSTEM
  ibrav = 0, nat = 10, ntyp = 3
/
ATOMIC_SPECIES
Na 22.99 Na.upf
In 114.82 In.upf
Pt 195.08 Pt.upf
CELL_PARAMETERS angstrom
8.638 0.000 -0.461
0.000 8.063 0.000
-3.508 -4.031 4.293
ATOMIC_POSITIONS crystal
Na 0.497 0.776 0.553
Na 0.503 0.224 0.447
Na 0.000 0.500 0.000
Na 0.500 0.695 0.000
Na 0.000 0.000 0.000
Na 0.500 0.305 0.000
In 0.000 0.000 0.500
In 0.000 0.500 0.500
Pt 0.733 0.119 0.239
Pt 0.267 0.881 0.761
```

- Magnetization: 0.0 μB per cell
- Total energy: -2.678 eV/atom
- Formation energy: -0.13 eV/atom
- Excess energy over the best structure of this formula in the dataset: 0 meV/atom
- Calculated volume: 28.6 Å³/atom

=====

Entry 7:
First-principles (PBE) data for NaIn4Pt after structural relaxation, as listed in Alexandria. Values from VASP.

```
&SYSTEM
  ibrav = 0, nat = 12, ntyp = 3
/
ATOMIC_SPECIES
In 114.82 In.upf
Pt 195.08 Pt.upf
Na 22.99 Na.upf
CELL_PARAMETERS angstrom
-4.630 -4.124 -1.141
5.115 -4.724 -3.453
1.572 0.947 7.577
ATOMIC_POSITIONS crystal
In 0.895 0.852 0.587
In 0.690 0.354 0.587
In 0.398 0.053 0.822
In 0.424 0.555 0.823
In 0.310 0.646 0.413
In 0.576 0.445 0.177
In 0.602 0.947 0.178
In 0.105 0.148 0.413
Pt 0.500 0.000 0.500
Pt 0.000 0.500 0.500
Na 0.972 0.249 0.999
Na 0.028 0.751 0.001
```

- Magnetization: 0.0 μB per cell
- Total energy: -3.276 eV/atom
- Formation energy: -0.22 eV/atom
- Calculated volume: 26.6 Å³/atom

=====

Entry 8:
First-principles (PBE) data for NaInPt2 after structural relaxation, as listed in Alexandria. Values from VASP.

```
&SYSTEM
  ibrav = 0, nat = 4, ntyp = 3
/
ATOMIC_SPECIES
Na 22.99 Na.upf
Pt 195.08 Pt.upf
In 114.82 In.upf
CELL_PARAMETERS angstrom
-0.195 3.340 2.000
-3.440 1.105 -2.181
-2.436 -1.875 2.892
ATOMIC_POSITIONS crystal
Na 0.500 0.000 0.000
Pt 0.000 0.000 0.500
Pt 0.000 0.500 0.000
In 0.500 0.500 0.500
```

- Magnetization: 0.0 μB per cell
- Total energy: -4.368 eV/atom
- Formation energy: -0.33 eV/atom
- Calculated volume: 17.4 Å³/atom

=====

Please write out number 3 again, unchanged.
First-principles (PBE) data for NaIn2Pt after structural relaxation, as listed in Alexandria. Values from VASP.

```
&SYSTEM
  ibrav = 0, nat = 32, ntyp = 3
/
ATOMIC_SPECIES
In 114.82 In.upf
Pt 195.08 Pt.upf
Na 22.99 Na.upf
CELL_PARAMETERS angstrom
5.722 0.000 0.000
0.000 7.916 0.000
0.000 0.000 16.027
ATOMIC_POSITIONS crystal
In 0.973 0.049 0.212
In 0.257 0.448 0.963
In 0.527 0.049 0.712
In 0.743 0.552 0.037
In 0.473 0.549 0.288
In 0.027 0.549 0.788
In 0.527 0.451 0.712
In 0.973 0.451 0.212
In 0.027 0.951 0.788
In 0.757 0.948 0.537
In 0.243 0.052 0.463
In 0.257 0.052 0.963
In 0.473 0.951 0.288
In 0.757 0.552 0.537
In 0.243 0.448 0.463
In 0.743 0.948 0.037
Pt 0.737 0.750 0.184
Pt 0.763 0.750 0.684
Pt 0.978 0.250 0.070
Pt 0.478 0.750 0.430
Pt 0.522 0.250 0.570
Pt 0.237 0.250 0.316
Pt 0.263 0.250 0.816
Pt 0.022 0.750 0.930
Na 0.752 0.250 0.394
Na 0.748 0.250 0.894
Na 0.032 0.250 0.639
Na 0.252 0.750 0.106
Na 0.532 0.750 0.861
Na 0.468 0.250 0.139
Na 0.968 0.750 0.361
Na 0.248 0.750 0.606
```

- Magnetization: 0.0 μB per cell
- Total energy: -3.614 eV/atom
- Formation energy: -0.40 eV/atom
- Calculated volume: 22.7 Å³/atom